(1)
VASP calculation (GGA-PBE) on crystalline LiMgBi3 at its relaxed geometry.

The structure in CIF format:
```
data_LiMgBi3
_symmetry_space_group_name_H-M 'P 1'
_symmetry_Int_Tables_number 1
_cell_length_a 5.577
_cell_length_b 5.577
_cell_length_c 5.577
_cell_angle_alpha 90.00
_cell_angle_beta 90.00
_cell_angle_gamma 90.00
loop_
_symmetry_equiv_pos_as_xyz
'x,y,z'
loop_
_atom_site_label
_atom_site_fract_x
_atom_site_fract_y
_atom_site_fract_z
Mg1 0.000 0.000 0.000
Bi1 0.000 0.500 0.000
Bi2 0.000 0.000 0.500
Bi3 0.500 0.000 0.000
Li1 0.500 0.500 0.500
```

Properties
**Formation energy from the elements**: 0.29 eV/atom
**Energy above the most stable polymorph in this dataset**: 120.6 meV/atom
**ρ**: 6.301 g cm⁻³

---

(2)
VASP calculation (GGA-PBE) on crystalline LiMg6Bi at its relaxed geometry.

The structure in CIF format:
```
data_LiMg6Bi
_symmetry_space_group_name_H-M 'P 1'
_symmetry_Int_Tables_number 1
_cell_length_a 6.595
_cell_length_b 6.595
_cell_length_c 5.087
_cell_angle_alpha 90.00
_cell_angle_beta 90.00
_cell_angle_gamma 122.40
loop_
_symmetry_equiv_pos_as_xyz
'x,y,z'
loop_
_atom_site_label
_atom_site_fract_x
_atom_site_fract_y
_atom_site_fract_z
Li1 0.832 0.168 0.500
Mg1 0.831 0.666 0.500
Mg2 0.334 0.169 0.500
Mg3 0.682 0.841 0.000
Mg4 0.159 0.318 0.000
Mg5 0.671 0.329 0.000
Mg6 0.158 0.842 0.000
Bi1 0.333 0.667 0.500
```

Properties
**Formation energy from the elements**: -0.07 eV/atom
**Energy above the most stable polymorph in this dataset**: 4.1 meV/atom
**ρ**: 3.215 g cm⁻³

---

(3)
VASP calculation (GGA-PBE) on crystalline Li2Mg2Bi at its relaxed geometry.

The structure in CIF format:
```
data_Li2Mg2Bi
_symmetry_space_group_name_H-M 'P 1'
_symmetry_Int_Tables_number 1
_cell_length_a 7.862
_cell_length_b 7.862
_cell_length_c 3.576
_cell_angle_alpha 90.00
_cell_angle_beta 90.00
_cell_angle_gamma 90.00
loop_
_symmetry_equiv_pos_as_xyz
'x,y,z'
loop_
_atom_site_label
_atom_site_fract_x
_atom_site_fract_y
_atom_site_fract_z
Mg1 0.152 0.652 0.500
Mg2 0.652 0.848 0.500
Mg3 0.848 0.348 0.500
Mg4 0.348 0.152 0.500
Bi1 0.000 0.000 0.000
Bi2 0.500 0.500 0.000
Li1 0.359 0.859 0.000
Li2 0.859 0.641 0.000
Li3 0.641 0.141 0.000
Li4 0.141 0.359 0.000
```

Properties
**Formation energy from the elements**: -0.09 eV/atom
**Energy above the most stable polymorph in this dataset**: 0.0 meV/atom
**ρ**: 4.079 g cm⁻³

---

(4)
VASP calculation (GGA-PBE) on crystalline Li3MgBi at its relaxed geometry.

The structure in CIF format:
```
data_Li3MgBi
_symmetry_space_group_name_H-M 'P 1'
_symmetry_Int_Tables_number 1
_cell_length_a 4.892
_cell_length_b 8.167
_cell_length_c 11.128
_cell_angle_alpha 110.20
_cell_angle_beta 90.00
_cell_angle_gamma 90.00
loop_
_symmetry_equiv_pos_as_xyz
'x,y,z'
loop_
_atom_site_label
_atom_site_fract_x
_atom_site_fract_y
_atom_site_fract_z
Li1 0.250 0.901 0.275
Li2 0.750 0.099 0.725
Li3 0.750 0.099 0.225
Li4 0.250 0.901 0.775
Li5 0.250 0.688 0.485
Li6 0.750 0.312 0.515
Li7 0.750 0.312 0.015
Li8 0.250 0.688 0.985
Li9 0.250 0.511 0.675
Li10 0.750 0.489 0.325
Li11 0.750 0.489 0.825
Li12 0.250 0.511 0.175
Mg1 0.250 0.107 0.557
Mg2 0.750 0.893 0.443
Mg3 0.750 0.893 0.943
Mg4 0.250 0.107 0.057
Bi1 0.750 0.705 0.149
Bi2 0.250 0.295 0.851
Bi3 0.250 0.295 0.351
Bi4 0.750 0.705 0.649
```

Properties
**Formation energy from the elements**: -0.35 eV/atom
**Energy above the most stable polymorph in this dataset**: 0.0 meV/atom
**ρ**: 4.045 g cm⁻³

---

(5)
VASP calculation (GGA-PBE) on crystalline Li4MgBi2 at its relaxed geometry.

The structure in CIF format:
```
data_Li4MgBi2
_symmetry_space_group_name_H-M 'P 1'
_symmetry_Int_Tables_number 1
_cell_length_a 5.485
_cell_length_b 7.694
_cell_length_c 7.276
_cell_angle_alpha 94.04
_cell_angle_beta 90.00
_cell_angle_gamma 90.00
loop_
_symmetry_equiv_pos_as_xyz
'x,y,z'
loop_
_atom_site_label
_atom_site_fract_x
_atom_site_fract_y
_atom_site_fract_z
Li1 0.000 0.643 0.850
Li2 0.741 0.500 0.500
Li3 0.759 0.000 0.500
Li4 0.500 0.143 0.850
Li5 0.500 0.857 0.150
Li6 0.241 0.000 0.500
Li7 0.259 0.500 0.500
Li8 0.000 0.357 0.150
Mg1 0.000 0.000 0.000
Mg2 0.500 0.500 0.000
Bi1 0.001 0.721 0.254
Bi2 0.999 0.279 0.746
Bi3 0.501 0.779 0.746
Bi4 0.499 0.221 0.254
```

Properties
**Formation energy from the elements**: -0.38 eV/atom
**ρ**: 5.096 g cm⁻³

---

(6)
VASP calculation (GGA-PBE) on crystalline LiMg2Bi2 at its relaxed geometry.

The structure in CIF format:
```
data_LiMg2Bi2
_symmetry_space_group_name_H-M 'P 1'
_symmetry_Int_Tables_number 1
_cell_length_a 8.607
_cell_length_b 8.607
_cell_length_c 3.639
_cell_angle_alpha 90.00
_cell_angle_beta 90.00
_cell_angle_gamma 90.00
loop_
_symmetry_equiv_pos_as_xyz
'x,y,z'
loop_
_atom_site_label
_atom_site_fract_x
_atom_site_fract_y
_atom_site_fract_z
Mg1 0.374 0.874 0.000
Mg2 0.874 0.626 0.000
Mg3 0.626 0.126 0.000
Mg4 0.126 0.374 0.000
Bi1 0.174 0.674 0.500
Bi2 0.674 0.826 0.500
Bi3 0.826 0.326 0.500
Bi4 0.326 0.174 0.500
Li1 0.000 0.000 0.000
Li2 0.500 0.500 0.000
```

Properties
**Formation energy from the elements**: -0.14 eV/atom
**Energy above the most stable polymorph in this dataset**: 99.2 meV/atom
**ρ**: 5.833 g cm⁻³

---

(7)
VASP calculation (GGA-PBE) on crystalline Li7MgBi4 at its relaxed geometry.

The structure in CIF format:
```
data_Li7MgBi4
_symmetry_space_group_name_H-M 'P 1'
_symmetry_Int_Tables_number 1
_cell_length_a 5.197
_cell_length_b 9.225
_cell_length_c 6.583
_cell_angle_alpha 83.47
_cell_angle_beta 66.75
_cell_angle_gamma 73.64
loop_
_symmetry_equiv_pos_as_xyz
'x,y,z'
loop_
_atom_site_label
_atom_site_fract_x
_atom_site_fract_y
_atom_site_fract_z
Li1 0.783 0.912 0.522
Li2 0.217 0.088 0.478
Li3 0.077 0.652 0.194
Li4 0.923 0.348 0.806
Li5 0.356 0.540 0.748
Li6 0.500 0.000 0.000
Li7 0.644 0.460 0.252
Mg1 0.000 0.000 0.000
Bi1 0.580 0.228 0.611
Bi2 0.420 0.772 0.389
Bi3 0.718 0.693 0.870
Bi4 0.282 0.307 0.130
```

Properties
**Formation energy from the elements**: -0.28 eV/atom
**ρ**: 5.424 g cm⁻³

---

(8)
VASP calculation (GGA-PBE) on crystalline Li9Mg4Bi11 at its relaxed geometry.

The structure in CIF format:
```
data_Li9Mg4Bi11
_symmetry_space_group_name_H-M 'P 1'
_symmetry_Int_Tables_number 1
_cell_length_a 3.417
_cell_length_b 14.360
_cell_length_c 14.370
_cell_angle_alpha 117.80
_cell_angle_beta 87.53
_cell_angle_gamma 87.56
loop_
_symmetry_equiv_pos_as_xyz
'x,y,z'
loop_
_atom_site_label
_atom_site_fract_x
_atom_site_fract_y
_atom_site_fract_z
Li1 0.498 0.603 0.118
Li2 0.502 0.397 0.882
Li3 0.499 0.117 0.602
Li4 0.501 0.883 0.398
Li5 0.535 0.784 0.912
Li6 0.465 0.216 0.088
Li7 0.537 0.912 0.785
Li8 0.463 0.088 0.215
Li9 0.500 0.500 0.500
Mg1 0.457 0.527 0.740
Mg2 0.543 0.473 0.260
Mg3 0.458 0.740 0.528
Mg4 0.542 0.260 0.472
Bi1 0.020 0.617 0.949
Bi2 0.980 0.383 0.051
Bi3 0.021 0.950 0.618
Bi4 0.979 0.050 0.382
Bi5 0.000 0.676 0.325
Bi6 0.000 0.324 0.675
Bi7 0.999 0.863 0.136
Bi8 0.001 0.137 0.864
Bi9 0.000 0.000 0.000
Bi10 0.792 0.676 0.676
Bi11 0.208 0.324 0.324
```

Properties
**Formation energy from the elements**: -0.29 eV/atom
**ρ**: 6.568 g cm⁻³

---

(9)
VASP calculation (GGA-PBE) on crystalline Na2Li3MgBi4 at its relaxed geometry.

The structure in CIF format:
```
data_Na2Li3MgBi4
_symmetry_space_group_name_H-M 'P 1'
_symmetry_Int_Tables_number 1
_cell_length_a 4.618
_cell_length_b 4.618
_cell_length_c 13.063
_cell_angle_alpha 90.00
_cell_angle_beta 90.00
_cell_angle_gamma 90.00
loop_
_symmetry_equiv_pos_as_xyz
'x,y,z'
loop_
_atom_site_label
_atom_site_fract_x
_atom_site_fract_y
_atom_site_fract_z
Na1 0.500 0.000 0.268
Na2 0.000 0.500 0.732
Li1 0.000 0.000 0.500
Li2 0.500 0.000 0.854
Li3 0.000 0.500 0.146
Mg1 0.500 0.500 0.500
Bi1 0.500 0.500 0.000
Bi2 0.000 0.000 0.000
Bi3 0.500 0.000 0.642
Bi4 0.000 0.500 0.358
```

Properties
**Formation energy from the elements**: -0.34 eV/atom
**ρ**: 5.526 g cm⁻³

---

(10)
VASP calculation (GGA-PBE) on crystalline LiMgBiO4 at its relaxed geometry.

The structure in CIF format:
```
data_LiMgBiO4
_symmetry_space_group_name_H-M 'P 1'
_symmetry_Int_Tables_number 1
_cell_length_a 6.188
_cell_length_b 6.307
_cell_length_c 6.307
_cell_angle_alpha 62.56
_cell_angle_beta 60.62
_cell_angle_gamma 60.62
loop_
_symmetry_equiv_pos_as_xyz
'x,y,z'
loop_
_atom_site_label
_atom_site_fract_x
_atom_site_fract_y
_atom_site_fract_z
Li1 0.642 0.608 0.108
Li2 0.358 0.392 0.892
Mg1 0.500 0.000 0.500
Mg2 0.000 0.000 0.500
Bi1 0.000 0.000 0.000
Bi2 0.000 0.500 0.500
O1 0.765 0.762 0.709
O2 0.235 0.791 0.738
O3 0.765 0.209 0.262
O4 0.235 0.238 0.291
O5 0.231 0.756 0.256
O6 0.757 0.756 0.256
O7 0.243 0.244 0.744
O8 0.769 0.244 0.744
```

Properties
**ΔE_f (raw)**: -1.652 eV per atom
**ρ**: 5.649 g cm⁻³